Record 1
DFT (PBE) results for a relaxed GaW3C crystal.

```
5
Lattice="4.161 0.000 0.000 0.000 4.161 0.000 0.000 0.000 4.161" Properties=species:S:1:pos:R:3 pbc="T T T"
Ga 0.000 0.000 0.000
W 0.000 2.080 2.080
W 2.080 0.000 2.080
W 2.080 2.080 0.000
C 2.080 2.080 2.080
```

Computed properties:
**Total energy**: -9.905 eV/atom
**Magnetization**: 0.0 μB/cell

Record 2
DFT (PBE) results for a relaxed Pm2Al6Ni3 crystal.

```
11
Lattice="7.523 0.000 0.000 -3.761 6.515 0.000 0.000 0.000 4.079" Properties=species:S:1:pos:R:3 pbc="T T T"
Pm 0.000 4.343 0.000
Pm 3.761 2.172 0.000
Al -0.764 1.324 0.000
Al -2.636 4.566 2.040
Al 1.528 0.000 0.000
Al 1.125 1.949 2.040
Al 5.272 0.000 2.040
Al 2.997 5.191 0.000
Ni -1.384 2.397 2.040
Ni 2.767 0.000 2.040
Ni 2.378 4.118 2.040
```

Computed properties:
**Total energy**: -4.964 eV/atom
**Magnetization**: 0.0 μB/cell

Record 3
DFT (PBE) results for a relaxed LiGa2Pd2 crystal.

```
10
Lattice="7.278 0.000 0.000 0.000 7.278 0.000 0.000 0.000 2.955" Properties=species:S:1:pos:R:3 pbc="T T T"
Li 0.000 0.000 0.000
Li 3.639 3.639 0.000
Ga 1.029 2.610 0.000
Ga 2.610 6.249 0.000
Ga 4.668 1.029 0.000
Ga 6.249 4.668 0.000
Pd 1.141 4.781 1.478
Pd 2.498 1.141 1.478
Pd 4.781 6.137 1.478
Pd 6.137 2.498 1.478
```

Computed properties:
**Total energy**: -4.286 eV/atom
**Magnetization**: 0.0 μB/cell

Record 4
DFT (PBE) results for a relaxed TlGa3Sn3 crystal.

```
14
Lattice="8.673 0.000 0.000 -4.337 7.511 0.000 0.000 0.000 5.300" Properties=species:S:1:pos:R:3 pbc="T T T"
Tl 0.000 5.008 1.325
Tl 4.337 2.504 3.975
Ga -0.621 1.595 1.325
Ga -2.645 7.252 1.325
Ga 1.071 1.335 3.975
Ga 3.266 6.176 1.325
Ga 6.981 0.260 3.975
Ga 4.958 5.916 3.975
Sn -1.198 3.406 3.975
Sn -0.788 6.846 3.975
Sn 2.351 2.741 1.325
Sn 1.986 4.771 3.975
Sn 5.124 0.666 1.325
Sn 5.535 4.105 1.325
```

Computed properties:
**Total energy**: -3.268 eV/atom
**Magnetization**: 0.0 μB/cell

> total energy of number 2 (Pm2Al6Ni3)?

-4.964 eV/atom

> Among the records above, which one has the lowest total energy?

GaW3C

> Which value of total energy does entry 4 give?

-3.268 eV/atom

Please write out number 3 again, unchanged.
DFT (PBE) results for a relaxed LiGa2Pd2 crystal.

```
10
Lattice="7.278 0.000 0.000 0.000 7.278 0.000 0.000 0.000 2.955" Properties=species:S:1:pos:R:3 pbc="T T T"
Li 0.000 0.000 0.000
Li 3.639 3.639 0.000
Ga 1.029 2.610 0.000
Ga 2.610 6.249 0.000
Ga 4.668 1.029 0.000
Ga 6.249 4.668 0.000
Pd 1.141 4.781 1.478
Pd 2.498 1.141 1.478
Pd 4.781 6.137 1.478
Pd 6.137 2.498 1.478
```

Computed properties:
**Total energy**: -4.286 eV/atom
**Magnetization**: 0.0 μB/cell